1.
## Ca4Zn2Ag5 (GGA-PBE)

Data for an optimized crystal structure of Ca4Zn2Ag5.

Cell: 4.2231 7.3705 8.5357 Å, 90.94 90.00 90.00°
Element x y z (fractional)
Ca1 0.5000 0.7433 0.6119
Ca2 0.5000 0.2248 0.8716
Ca3 0.5000 0.2567 0.3881
Ca4 0.5000 0.7752 0.1284
Zn1 0.0000 0.0803 0.6308
Zn2 0.0000 0.9197 0.3692
Ag1 0.0000 0.5633 0.3398
Ag2 0.0000 0.1385 0.1278
Ag3 0.0000 0.5000 0.0000
Ag4 0.0000 0.8615 0.8722
Ag5 0.0000 0.4367 0.6602

Output
Magnetization   0.00 μB per formula unit

2.
## CaZn12Ag6 (GGA-PBE)

Data for an optimized crystal structure of CaZn12Ag6.

Cell: 7.3148 7.3148 7.3148 Å, 104.42 104.42 104.42°
Element x y z (fractional)
Ca1 0.0000 0.0000 0.0000
Zn1 0.8914 0.1086 0.5000
Zn2 0.8754 0.6238 0.6238
Zn3 0.6238 0.6238 0.8754
Zn4 0.3762 0.1246 0.3762
Zn5 0.3762 0.3762 0.1246
Zn6 0.1246 0.3762 0.3762
Zn7 0.1086 0.5000 0.8914
Zn8 0.5000 0.8914 0.1086
Zn9 0.1086 0.8914 0.5000
Zn10 0.8914 0.5000 0.1086
Zn11 0.5000 0.1086 0.8914
Zn12 0.6238 0.8754 0.6238
Ag1 0.7061 0.2919 0.2919
Ag2 0.2919 0.2919 0.7061
Ag3 0.2919 0.7061 0.2919
Ag4 0.7081 0.7081 0.2939
Ag5 0.2939 0.7081 0.7081
Ag6 0.7081 0.2939 0.7081

Output
Magnetization   0.00 μB per formula unit

3.
## Ca4ZnAg (GGA-PBE)

Data for an optimized crystal structure of Ca4ZnAg.

Cell: 3.7497 3.7497 13.0210 Å, 90.00 90.00 90.00°
Element x y z (fractional)
Ca1 0.5000 0.5000 0.8630
Ca2 0.5000 0.5000 0.1370
Ca3 0.0000 0.0000 0.6382
Ca4 0.0000 0.0000 0.3618
Zn1 0.0000 0.0000 0.0000
Ag1 0.5000 0.5000 0.5000

Output
Energy above the most stable polymorph in this dataset   0 kJ/mol of formula units
Magnetization   0.00 μB per formula unit

4.
## Ca4ZnAg3 (GGA-PBE)

Data for an optimized crystal structure of Ca4ZnAg3.

Cell: 4.1163 4.6258 11.3767 Å, 90.00 90.00 90.00°
Element x y z (fractional)
Ca1 0.5000 0.5000 0.1438
Ca2 0.0000 0.5000 0.6425
Ca3 0.0000 0.0000 0.3576
Ca4 0.5000 0.0000 0.8571
Zn1 0.5000 0.5000 0.4311
Ag1 0.0000 0.5000 0.9240
Ag2 0.0000 0.0000 0.0763
Ag3 0.5000 0.0000 0.5676

Output
Magnetization   0.00 μB per formula unit

5.
## CaZn4Ag12 (GGA-PBE)

Data for an optimized crystal structure of CaZn4Ag12.

Cell: 7.7541 7.7541 7.7541 Å, 109.47 109.47 109.47°
Element x y z (fractional)
Ca1 0.0000 0.0000 0.0000
Zn1 0.0000 0.5000 0.0000
Zn2 0.5000 0.0000 0.0000
Zn3 0.5000 0.5000 0.5000
Zn4 0.0000 0.0000 0.5000
Ag1 0.8434 0.3462 0.1897
Ag2 0.3462 0.5028 0.1566
Ag3 0.8103 0.1566 0.6538
Ag4 0.3462 0.1897 0.8434
Ag5 0.1897 0.8434 0.3462
Ag6 0.6538 0.4972 0.8434
Ag7 0.5028 0.1566 0.3462
Ag8 0.4972 0.8434 0.6538
Ag9 0.6538 0.8103 0.1566
Ag10 0.8434 0.6538 0.4972
Ag11 0.1566 0.3462 0.5028
Ag12 0.1566 0.6538 0.8103

Output
Magnetization   0.00 μB per formula unit

6.
## Ca2ZnAg2 (GGA-PBE)

Data for an optimized crystal structure of Ca2ZnAg2.

Cell: 6.3060 6.5696 7.9173 Å, 114.51 113.47 90.00°
Element x y z (fractional)
Ca1 0.8571 0.6596 0.7142
Ca2 0.1429 0.3404 0.2858
Ca3 0.6429 0.9454 0.2858
Ca4 0.3571 0.0546 0.7142
Zn1 0.7500 0.5000 0.0000
Zn2 0.2500 0.5000 0.0000
Ag1 0.3818 0.6064 0.7636
Ag2 0.6182 0.3936 0.2364
Ag3 0.1182 0.8427 0.2364
Ag4 0.8818 0.1573 0.7636

Output
Energy above the most stable polymorph in this dataset   27 kJ/mol of formula units
Magnetization   0.00 μB per formula unit

7.
## CaZnAg (GGA-PBE)

Data for an optimized crystal structure of CaZnAg.

Cell: 5.8560 5.8560 7.3579 Å, 51.67 51.67 46.52°
Element x y z (fractional)
Ca1 0.4516 0.4516 0.3012
Ca2 0.5484 0.5484 0.6988
Zn1 0.1592 0.1592 0.8938
Zn2 0.8408 0.8408 0.1062
Ag1 0.8287 0.8287 0.7309
Ag2 0.1713 0.1713 0.2691

Output
Magnetization   0.00 μB per formula unit

8.
## Ca2Zn2Ag7 (GGA-PBE)

Data for an optimized crystal structure of Ca2Zn2Ag7.

Cell: 4.1804 9.6727 9.6727 Å, 57.40 130.13 130.13°
Element x y z (fractional)
Ca1 0.5000 0.7109 0.2891
Ca2 0.5000 0.2891 0.7109
Zn1 0.9400 0.1469 0.1469
Zn2 0.0600 0.8531 0.8531
Ag1 0.6508 0.3788 0.0549
Ag2 0.3492 0.9451 0.6212
Ag3 0.3492 0.6212 0.9451
Ag4 0.6508 0.0549 0.3788
Ag5 0.3695 0.6239 0.6238
Ag6 0.0000 0.0000 0.0000
Ag7 0.6305 0.3761 0.3762

Output
Magnetization   0.00 μB per formula unit

9.
## Ca3Zn2Ag7 (GGA-PBE)

Data for an optimized crystal structure of Ca3Zn2Ag7.

Cell: 5.7214 5.7214 9.6159 Å, 72.69 72.69 60.00°
Element x y z (fractional)
Ca1 0.0000 0.0000 0.0000
Ca2 0.8588 0.8588 0.4235
Ca3 0.1412 0.1412 0.5765
Zn1 0.6670 0.6670 0.9991
Zn2 0.3330 0.3330 0.0009
Ag1 0.5000 0.5000 0.5000
Ag2 0.9220 0.4189 0.2403
Ag3 0.4189 0.9220 0.2403
Ag4 0.4189 0.4189 0.2403
Ag5 0.0780 0.5811 0.7597
Ag6 0.5811 0.5811 0.7597
Ag7 0.5811 0.0780 0.7597

Output
Magnetization   0.00 μB per formula unit

10.
## CaZn2Ag3 (GGA-PBE)

Data for an optimized crystal structure of CaZn2Ag3.

Cell: 5.3656 6.7888 6.7888 Å, 84.29 90.00 90.00°
Element x y z (fractional)
Ca1 0.7500 0.6811 0.3189
Ca2 0.2500 0.3189 0.6811
Zn1 0.5000 0.2355 0.2355
Zn2 0.0000 0.2355 0.2355
Zn3 0.0000 0.7645 0.7645
Zn4 0.5000 0.7645 0.7645
Ag1 0.2500 0.5474 0.0818
Ag2 0.2500 0.9182 0.4526
Ag3 0.7500 0.4526 0.9182
Ag4 0.2500 0.9586 0.0414
Ag5 0.7500 0.0414 0.9586
Ag6 0.7500 0.0818 0.5474

Output
Energy above the most stable polymorph in this dataset   1 kJ/mol of formula units
Magnetization   0.00 μB per formula unit

11.
## CaZnAg2 (GGA-PBE)

Data for an optimized crystal structure of CaZnAg2.

Cell: 4.5874 3.6096 5.5241 Å, 89.72 90.00 90.00°
Element x y z (fractional)
Zn1 0.5000 0.7500 0.7500
Ca1 0.5000 0.2500 0.2500
Ag1 0.0000 0.7524 0.0000
Ag2 0.0000 0.7476 0.5000

Output
Magnetization   0.00 μB per formula unit

12.
## Ca5ZnAg2 (GGA-PBE)

Data for an optimized crystal structure of Ca5ZnAg2.

Cell: 8.0358 8.0358 9.3228 Å, 115.53 115.53 90.00°
Element x y z (fractional)
Ca1 0.5219 0.6864 0.7083
Ca2 0.8136 0.9781 0.2917
Ca3 0.0000 0.0000 0.0000
Ca4 0.5000 0.5000 0.0000
Ca5 0.1864 0.0219 0.7083
Ca6 0.6864 0.1864 0.7083
Ca7 0.0219 0.5219 0.7083
Ca8 0.3136 0.8136 0.2917
Ca9 0.9781 0.4781 0.2917
Ca10 0.4781 0.3136 0.2917
Zn1 0.7500 0.7500 0.5000
Zn2 0.2500 0.2500 0.5000
Ag1 0.1263 0.3737 0.0000
Ag2 0.6263 0.1263 0.0000
Ag3 0.3737 0.8737 0.0000
Ag4 0.8737 0.6263 0.0000

Output
Magnetization   0.00 μB per formula unit

13.
## Ca3Zn8Ag3 (GGA-PBE)

Data for an optimized crystal structure of Ca3Zn8Ag3.

Cell: 4.3675 8.4648 8.4648 Å, 67.43 75.05 75.05°
Element x y z (fractional)
Ca1 0.5000 0.5000 0.5000
Ca2 0.8090 0.1910 0.1910
Ca3 0.1910 0.8090 0.8090
Zn1 0.6338 0.0905 0.6419
Zn2 0.3662 0.9095 0.3581
Zn3 0.6338 0.6419 0.0905
Zn4 0.3662 0.3581 0.9095
Zn5 0.8259 0.8116 0.5366
Zn6 0.1741 0.1884 0.4634
Zn7 0.8259 0.5366 0.8116
Zn8 0.1741 0.4634 0.1884
Ag1 0.5000 0.0000 0.0000
Ag2 0.0000 0.7847 0.2153
Ag3 0.0000 0.2153 0.7847

Output
Magnetization   0.00 μB per formula unit

14.
## CaZn2Ag (GGA-PBE)

Data for an optimized crystal structure of CaZn2Ag.

Cell: 4.3192 4.3192 4.4421 Å, 90.00 90.00 89.87°
Element x y z (fractional)
Zn1 0.0000 0.0000 0.0000
Zn2 0.5000 0.5000 0.0000
Ca1 0.0000 0.5000 0.5000
Ag1 0.5000 0.0000 0.5000

Output
Magnetization   0.00 μB per formula unit

15.
## CaZn5Ag2 (GGA-PBE)

Data for an optimized crystal structure of CaZn5Ag2.

Cell: 4.0634 6.6151 6.6151 Å, 67.91 72.11 72.11°
Element x y z (fractional)
Ca1 0.0000 0.0000 0.0000
Zn1 0.0000 0.5000 0.5000
Zn2 0.6305 0.5545 0.1845
Zn3 0.3695 0.4455 0.8155
Zn4 0.3695 0.8155 0.4455
Zn5 0.6305 0.1845 0.5545
Ag1 0.7441 0.7559 0.7559
Ag2 0.2559 0.2441 0.2441

Output
Magnetization   0.00 μB per formula unit

16.
## Ca7Zn2Ag2 (GGA-PBE)

Data for an optimized crystal structure of Ca7Zn2Ag2.

Cell: 7.0524 7.6339 7.0524 Å, 90.00 110.86 90.00°
Element x y z (fractional)
Ca1 0.9998 0.2793 0.5003
Ca2 0.5003 0.7207 0.9998
Ca3 0.0002 0.7207 0.4997
Ca4 0.4997 0.2793 0.0002
Ca5 0.0000 0.0000 0.0000
Ca6 0.5002 0.7377 0.4998
Ca7 0.4998 0.2623 0.5002
Zn1 0.8367 0.5000 0.8367
Zn2 0.1633 0.5000 0.1633
Ag1 0.7059 0.0000 0.2941
Ag2 0.2941 0.0000 0.7059

Output
Magnetization   0.00 μB per formula unit

17.
## Ca4ZnAg (GGA-PBE)

Data for an optimized crystal structure of Ca4ZnAg.

Cell: 5.2362 5.2392 7.3428 Å, 89.96 89.97 90.00°
Element x y z (fractional)
Ca1 0.5013 0.9970 0.2510
Ca2 0.5013 0.9976 0.7452
Ca3 0.0014 0.4974 0.7451
Ca4 0.0012 0.4971 0.2511
Zn1 0.0013 0.9972 0.4983
Ag1 0.5013 0.4974 0.9981

Output
Energy above the most stable polymorph in this dataset   61 kJ/mol of formula units
Magnetization   0.00 μB per formula unit

18.
## Ca3Zn4Ag4 (GGA-PBE)

Data for an optimized crystal structure of Ca3Zn4Ag4.

Cell: 4.5939 3.7521 14.3219 Å, 82.47 81.17 90.14°
Element x y z (fractional)
Ca1 0.6455 0.1447 0.7094
Ca2 0.3545 0.8554 0.2906
Ca3 0.0000 0.0000 0.0000
Zn1 0.0954 0.5955 0.8084
Zn2 0.2579 0.2569 0.4838
Zn3 0.7421 0.7432 0.5162
Zn4 0.9046 0.4046 0.1916
Ag1 0.5514 0.5510 0.8994
Ag2 0.4486 0.4490 0.1006
Ag3 0.8096 0.3121 0.3791
Ag4 0.1904 0.6879 0.6209

Output
Energy above the most stable polymorph in this dataset   0 kJ/mol of formula units
Magnetization   0.00 μB per formula unit

19.
## Ca2Zn3Ag (GGA-PBE)

Data for an optimized crystal structure of Ca2Zn3Ag.

Cell: 5.8637 5.8637 7.4293 Å, 50.81 50.81 45.05°
Element x y z (fractional)
Ca1 0.5512 0.5512 0.6963
Ca2 0.4490 0.4490 0.3009
Zn1 0.8302 0.8302 0.7332
Zn2 0.8448 0.8448 0.0960
Zn3 0.1647 0.1647 0.8903
Ag1 0.1602 0.1602 0.2832

Output
Energy above the most stable polymorph in this dataset   0 kJ/mol of formula units
Magnetization   0.00 μB per formula unit

20.
## Ca6Zn2Ag (GGA-PBE)

Data for an optimized crystal structure of Ca6Zn2Ag.

Cell: 9.0014 9.0014 9.0014 Å, 106.22 111.47 110.77°
Element x y z (fractional)
Ca1 0.5516 0.7315 0.8200
Ca2 0.4484 0.2685 0.1800
Ca3 0.0885 0.2685 0.8200
Ca4 0.9115 0.7315 0.1800
Ca5 0.8038 0.7529 0.5567
Ca6 0.1962 0.2471 0.4433
Ca7 0.1962 0.7529 0.9491
Ca8 0.8038 0.2471 0.0509
Ca9 0.7033 0.3769 0.6736
Ca10 0.2967 0.6231 0.3264
Ca11 0.2967 0.9703 0.6736
Ca12 0.7033 0.0297 0.3264
Zn1 0.5000 0.3823 0.8823
Zn2 0.5000 0.6177 0.1177
Zn3 0.6422 0.0000 0.6422
Zn4 0.3578 0.0000 0.3578
Ag1 0.0000 0.5000 0.5000
Ag2 0.0000 0.0000 0.0000

Output
Magnetization   0.00 μB per formula unit

no.,ΔH_f (0 K) (meV per atom)
1,-256
2,-5
3,-197
4,-305
5,223
6,-190
7,-307
8,-177
9,-243
10,-170
11,-131
12,-254
13,-245
14,-105
15,-108
16,-67
17,-91
18,-237
19,-298
20,-169